#A
# GeMoI2O

A geometry-optimized GeMoI2O structure (PBE with a Hubbard U, Alexandria).

Summary:
The calculation puts the magnetization at 3.58 μB per formula unit.

Cell and atoms, written as extended XYZ:
```
5
Lattice="5.931 0.000 0.000 0.000 5.931 0.000 0.000 0.000 3.904" Properties=species:S:1:pos:R:3 pbc="T T T"
Ge 0.000 0.000 0.000
Mo 2.965 2.965 1.952
I 0.000 2.965 1.952
I 2.965 0.000 1.952
O 2.965 2.965 0.000
```

---

#B
# GeMoI2O

A geometry-optimized GeMoI2O structure (PBE with a Hubbard U, Alexandria).

Summary:
The calculation puts the magnetization at 4.84 μB per formula unit.

Cell and atoms, written as extended XYZ:
```
5
Lattice="5.942 0.000 0.000 0.000 5.942 0.000 0.000 0.000 3.778" Properties=species:S:1:pos:R:3 pbc="T T T"
Ge 0.000 0.000 0.000
Mo 2.971 2.971 1.889
I 0.000 2.971 0.000
I 2.971 0.000 0.000
O 0.000 0.000 1.889
```

---

Energy relative to the most stable one, in meV per atom: #A 0; #B 167